## Ca2OsPd (GGA-PBE)

Data for crystalline Ca2OsPd at its relaxed geometry.

Lattice parameters (Å, degrees): 7.7529 7.7529 6.2129 51.40 51.40 90.00
Site moments in Bohr magnetons follow the coordinates.
Positions (direct):
Pd 0.5000 0.5000 0.0000  0.10
Pd 0.2500 0.7500 0.5000  0.10
Ca 0.3750 0.3838 0.7500  -0.02
Ca 0.1338 0.6250 0.2500  -0.02
Ca 0.8750 0.8662 0.7500  -0.02
Ca 0.6162 0.1250 0.2500  -0.02
Os 0.0000 0.0000 0.0000  1.01
Os 0.7500 0.2500 0.5000  1.00

Computed properties:
- ΔE to the lowest computed polymorph: 0.285 eV per atom

---

## CaOsPd2Pt (GGA-PBE)

Data for crystalline CaOsPd2Pt at its relaxed geometry.

Lattice parameters (Å, degrees): 4.6794 4.9404 4.6794 90.00 90.00 90.00
Site moments in Bohr magnetons follow the coordinates.
Positions (direct):
Ca 0.0000 0.0000 0.0000  -0.02
Pt 0.0000 0.5000 0.0000  0.17
Os 0.5000 0.5000 0.5000  2.57
Pd 0.5000 0.0000 0.0000  0.17
Pd 0.0000 0.0000 0.5000  0.07

---

## RbCa2OsPd (GGA-PBE)

Data for crystalline RbCa2OsPd at its relaxed geometry.

Lattice parameters (Å, degrees): 5.5444 4.7122 5.5444 90.00 90.00 90.00
Positions (direct):
Rb 0.0000 0.0000 0.0000
Os 0.0000 0.5000 0.0000
Pd 0.5000 0.5000 0.5000
Ca 0.0000 0.0000 0.5000
Ca 0.5000 0.0000 0.0000

---

The calculation returns the following total DFT energy (no corrections) values, one per record and in order: -4.618, -4.248, -2.497 eV per atom.
The calculation returns the following volume values, one per record and in order: 176, 108, 145 Å³/cell.
The calculation returns the following ΔE_f values, one per record and in order: 0.4880, 1.6838, 1.7817 eV per atom.